Compound: TbScTeS
Source: Alexandria via LeMat-Bulk
Functional: GGA-PBE
Structure: optimized geometry

Computed properties:
space-group type	R3m (160)
DFT total energy	-6.15	eV per atom
formation energy (no corrections)	-1.589	eV per atom
calculated volume	23.2	A^3/atom
ρ	6.5	g/cm³

abc: 3.914 3.914 21.023
angles: 90.00 90.00 120.00
Atoms (fractional coordinates):
1 Tb 0.000 0.000 0.000
2 Tb 0.333 0.667 0.667
3 Tb 0.667 0.333 0.333
4 Sc 0.000 0.000 0.196
5 Sc 0.333 0.667 0.863
6 Sc 0.667 0.333 0.529
7 Te 0.000 0.000 0.435
8 Te 0.333 0.667 0.102
9 Te 0.667 0.333 0.768
10 S 0.000 0.000 0.595
11 S 0.333 0.667 0.261
12 S 0.667 0.333 0.928

Compound: Ba2TeMoC
Source: Alexandria via LeMat-Bulk
Functional: GGA-PBE
Structure: optimized geometry

Computed properties:
space-group type	P4/mmm (123)
DFT total energy	-5.46	eV per atom
formation energy (no corrections)	-0.048	eV per atom
calculated volume	30.2	A^3/atom
ρ	5.6	g/cm³

abc: 6.023 6.023 4.158
angles: 90.00 90.00 90.00
Atoms (fractional coordinates):
1 Ba 0.000 0.500 0.000
2 Ba 0.500 0.000 0.000
3 Te 0.000 0.000 0.500
4 Mo 0.500 0.500 0.500
5 C 0.500 0.500 0.000

Compound: Ag2RhPb
Source: Alexandria via LeMat-Bulk
Functional: GGA-PBE
Structure: optimized geometry

Computed properties:
space-group type	I4/mmm (139)
DFT total energy	-4.07	eV per atom
energy of formation	0.125	eV per atom
calculated volume	18.8	A^3/atom
ρ	11.6	g/cm³

abc: 3.963 3.963 9.589
angles: 90.00 90.00 90.00
Atoms (fractional coordinates):
1 Ag 0.000 0.500 0.250
2 Ag 0.000 0.500 0.750
3 Ag 0.500 0.000 0.250
4 Ag 0.500 0.000 0.750
5 Rh 0.000 0.000 0.000
6 Rh 0.500 0.500 0.500
7 Pb 0.000 0.000 0.500
8 Pb 0.500 0.500 0.000

Compound: Pr3In4Ag
Source: Alexandria via LeMat-Bulk
Functional: GGA-PBE
Structure: optimized geometry

Computed properties:
space-group type	Immm (71)
DFT total energy	-3.77	eV per atom
energy of formation	-0.253	eV per atom
calculated volume	29.2	A^3/atom
ρ	7.0	g/cm³

abc: 3.617 6.641 19.462
angles: 90.00 90.00 90.00
Atoms (fractional coordinates):
1 Pr 0.000 0.000 0.000
2 Pr 0.000 0.500 0.238
3 Pr 0.000 0.500 0.762
4 Pr 0.500 0.000 0.262
5 Pr 0.500 0.000 0.738
6 Pr 0.500 0.500 0.500
7 In 0.000 0.247 0.382
8 In 0.000 0.247 0.618
9 In 0.000 0.753 0.382
10 In 0.000 0.753 0.618
11 In 0.500 0.253 0.118
12 In 0.500 0.253 0.882
13 In 0.500 0.747 0.118
14 In 0.500 0.747 0.882
15 Ag 0.000 0.000 0.500
16 Ag 0.500 0.500 0.000

Compound: ThTlH
Source: Alexandria via LeMat-Bulk
Functional: GGA-PBE
Structure: optimized geometry

Computed properties:
space-group type	C2/m (12)
DFT total energy	-4.59	eV per atom
energy relative to the lowest polymorph listed for this composition	98.5	meV per atom
calculated volume	21.3	A^3/atom
ρ	11.4	g/cm³

abc: 5.126 5.125 9.715
angles: 90.00 90.28 90.00
Atoms (fractional coordinates):
1 Th 0.249 0.000 0.346
2 Th 0.251 0.500 0.654
3 Th 0.749 0.500 0.346
4 Th 0.751 0.000 0.654
5 Tl 0.248 0.500 0.108
6 Tl 0.252 0.000 0.892
7 Tl 0.748 0.000 0.108
8 Tl 0.752 0.500 0.892
9 H 0.000 0.250 0.500
10 H 0.000 0.750 0.500
11 H 0.500 0.250 0.500
12 H 0.500 0.750 0.500

Compound: SrGaAs2Se
Source: Alexandria via LeMat-Bulk
Functional: GGA-PBE
Structure: optimized geometry

Computed properties:
space-group type	P4/mmm (123)
DFT total energy	-2.90	eV per atom
formation energy (no corrections)	0.599	eV per atom
energy relative to the lowest polymorph listed for this composition	851.5	meV per atom
calculated volume	37.8	A^3/atom
ρ	3.4	g/cm³

abc: 5.739 5.739 5.735
angles: 90.00 90.00 90.00
Atoms (fractional coordinates):
1 Sr 0.000 0.000 0.000
2 Ga 0.500 0.500 0.500
3 As 0.000 0.500 0.000
4 As 0.500 0.000 0.000
5 Se 0.000 0.000 0.500

no.,DOS(E_F) (states/eV/cell)
1,1.0
2,3.3
3,5.1
4,11.7
5,9.4
6,5.5